Here is crystalline K2CeCuCl6 at its relaxed geometry from the Alexandria database. Energies are from PBEsol. Values from VASP.

**Total magnetization**: 1.000 μB per cell
**Symmetry**: Fm-3m, No. 225
**E_tot**: -4.175 eV per atom
**D(E_F)**: 0.8561 states/eV per atom
**Formation energy without anion corrections**: -1.65 eV per atom

Geometry as Quantum ESPRESSO input:
```
&SYSTEM
  ibrav = 0, nat = 10, ntyp = 4
/
ATOMIC_SPECIES
K 39.10 K.upf
Ce 140.12 Ce.upf
Cu 63.55 Cu.upf
Cl 35.45 Cl.upf
CELL_PARAMETERS angstrom
0.0000 5.1504 5.1504
5.1504 0.0000 5.1504
5.1504 5.1504 0.0000
ATOMIC_POSITIONS crystal
K 0.2500 0.2500 0.2500
K 0.7500 0.7500 0.7500
Ce 0.0000 0.0000 0.0000
Cu 0.5000 0.5000 0.5000
Cl 0.2618 0.2618 0.7382
Cl 0.2618 0.7382 0.2618
Cl 0.2618 0.7382 0.7382
Cl 0.7382 0.2618 0.2618
Cl 0.7382 0.2618 0.7382
Cl 0.7382 0.7382 0.2618
```

Here is crystalline CeH14Cl3O7 at its relaxed geometry from the Alexandria database. Energies are from PBEsol. Values from VASP.

**Total magnetization**: 2.000 μB per cell
**Symmetry**: P-1, No. 2
**E_tot**: -5.065 eV per atom
**D(E_F)**: 0.3324 states/eV per atom

Geometry as Quantum ESPRESSO input:
```
&SYSTEM
  ibrav = 0, nat = 50, ntyp = 4
/
ATOMIC_SPECIES
Ce 140.12 Ce.upf
H 1.01 H.upf
Cl 35.45 Cl.upf
O 16.00 O.upf
CELL_PARAMETERS angstrom
7.7073 0.0000 0.0000
1.2803 7.9745 0.0000
2.5503 2.8416 8.3347
ATOMIC_POSITIONS crystal
Ce 0.2183 0.1820 0.3215
Ce 0.7817 0.8180 0.6785
H 0.0186 0.8511 0.9072
H 0.0887 0.5318 0.1064
H 0.0941 0.5347 0.7701
H 0.1147 0.9726 0.1303
H 0.1230 0.0339 0.6913
H 0.2098 0.5760 0.3064
H 0.2638 0.4709 0.4715
H 0.2699 0.1765 0.6496
H 0.3515 0.3638 0.9410
H 0.3817 0.8920 0.6478
H 0.4290 0.6908 0.6473
H 0.4444 0.9538 0.8915
H 0.4861 0.6565 0.9792
H 0.4869 0.8611 0.2317
H 0.5131 0.1389 0.7683
H 0.5139 0.3435 0.0208
H 0.5556 0.0462 0.1085
H 0.5710 0.3092 0.3527
H 0.6183 0.1080 0.3522
H 0.6485 0.6362 0.0590
H 0.7301 0.8235 0.3504
H 0.7362 0.5291 0.5285
H 0.7902 0.4240 0.6936
H 0.8770 0.9661 0.3087
H 0.8853 0.0274 0.8697
H 0.9059 0.4653 0.2299
H 0.9113 0.4682 0.8936
H 0.9814 0.1489 0.0928
Cl 0.1484 0.8152 0.4853
Cl 0.2132 0.7731 0.0457
Cl 0.3425 0.3842 0.7059
Cl 0.6575 0.6158 0.2941
Cl 0.7868 0.2269 0.9543
Cl 0.8516 0.1848 0.5147
O 0.0250 0.4226 0.1735
O 0.0485 0.0702 0.1734
O 0.2272 0.4563 0.3817
O 0.2395 0.0832 0.6142
O 0.3797 0.3544 0.0434
O 0.4484 0.9881 0.1872
O 0.4714 0.7871 0.6681
O 0.5286 0.2129 0.3319
O 0.5516 0.0119 0.8128
O 0.6203 0.6456 0.9566
O 0.7605 0.9168 0.3858
O 0.7728 0.5437 0.6183
O 0.9515 0.9298 0.8266
O 0.9750 0.5774 0.8265
```

Here is crystalline K2LiCeCl6 at its relaxed geometry from the Alexandria database. Energies are from PBEsol. Values from VASP.

**Total magnetization**: 1.000 μB per cell
**Symmetry**: Fm-3m, No. 225
**E_tot**: -4.257 eV per atom
**D(E_F)**: 0.8390 states/eV per atom
**Formation energy without anion corrections**: -1.97 eV per atom

Geometry as Quantum ESPRESSO input:
```
&SYSTEM
  ibrav = 0, nat = 10, ntyp = 4
/
ATOMIC_SPECIES
K 39.10 K.upf
Li 6.94 Li.upf
Ce 140.12 Ce.upf
Cl 35.45 Cl.upf
CELL_PARAMETERS angstrom
0.0000 5.1955 5.1955
5.1955 0.0000 5.1955
5.1955 5.1955 0.0000
ATOMIC_POSITIONS crystal
K 0.2500 0.2500 0.2500
K 0.7500 0.7500 0.7500
Li 0.0000 0.0000 0.0000
Ce 0.5000 0.5000 0.5000
Cl 0.2404 0.2404 0.7596
Cl 0.2404 0.7596 0.2404
Cl 0.2404 0.7596 0.7596
Cl 0.7596 0.2404 0.2404
Cl 0.7596 0.2404 0.7596
Cl 0.7596 0.7596 0.2404
```